! SCAN HgW2Au, PBEsol geometry; values from VASP
&SYSTEM
  ibrav = 0, nat = 4, ntyp = 3
/
ATOMIC_SPECIES
Hg 200.59 Hg.upf
W 183.84 W.upf
Au 196.97 Au.upf
ATOMIC_POSITIONS angstrom
Hg 0.000 0.000 0.000
W 0.000 0.000 4.567
W 1.625 0.000 2.453
Au 1.625 0.000 6.840
CELL_PARAMETERS angstrom
1.625 -2.252 0.000
1.625 2.252 0.000
0.000 0.000 9.316
! **Energy of formation from the pure elements**: 152 kJ/mol of formula units
! **Total moment**: 0.00 μB per formula unit